Below is a relaxed structure of PaCoPd2O8, with properties calculated at the PBE with a Hubbard U level.

Output
N(E_F)   11.546 states/eV/cell
VASP energy   -76.7 eV per formula unit

abc: 6.876 6.876 6.773
angles: 90.00 90.00 90.00
Space group I-4m2 (No. 119)
Inequivalent atoms, fractional coordinates:
1 Pa 0.000 0.000 0.000
2 Co 0.000 0.500 0.750
3 Pd 0.000 0.000 0.500
4 Pd 0.000 0.500 0.250
5 O 0.000 0.185 0.717
6 O 0.000 0.326 0.025